Entry 1:
First-principles (GGA-PBE) data for crystalline LiDy2Y at its relaxed geometry, as listed in the Alexandria database.

Unit cell a=3.608 b=3.608 c=8.832 alpha=90.00 beta=90.00 gamma=90.00
Positions (direct):
Li: 0.000 0.000 0.000
Dy: 0.500 0.500 0.221
Dy: 0.500 0.500 0.779
Y: 0.000 0.000 0.500

Summary:
The value obtained for the total energy is -17.3 eV per formula unit. The spin magnetization is 0.00 μB per atom. The distance to the lowest polymorph of the same formula is 0.0 meV per atom. The calculated volume comes out at 28.74 A^3/atom. The density of states at the Fermi level is 5.17 states/eV/f.u. The density is 6.08 g cm⁻³. Its space-group type is P4/mmm, No. 123.


Entry 2:
First-principles (GGA-PBE) data for crystalline LiDyY2 at its relaxed geometry, as listed in the Alexandria database.

Unit cell a=5.493 b=5.493 c=5.493 alpha=60.00 beta=60.00 gamma=60.00
Positions (direct):
Li: 0.000 0.000 0.000
Dy: 0.500 0.500 0.500
Y: 0.250 0.250 0.250
Y: 0.750 0.750 0.750

Summary:
The value obtained for the total energy is -18.7 eV per formula unit. The spin magnetization is 0.00 μB per atom. The distance to the lowest polymorph of the same formula is 118.6 meV per atom. The calculated volume comes out at 29.30 A^3/atom. The density of states at the Fermi level is 3.37 states/eV/f.u. The density is 4.92 g cm⁻³. Its space-group type is Fm-3m, No. 225.


Entry 3:
First-principles (GGA-PBE) data for crystalline LiDy2Y at its relaxed geometry, as listed in the Alexandria database.

Unit cell a=11.387 b=11.387 c=11.387 alpha=17.70 beta=17.70 gamma=17.70
Positions (direct):
Li: 0.000 0.000 0.000
Dy: 0.252 0.252 0.252
Dy: 0.415 0.415 0.415
Y: 0.834 0.834 0.834

Summary:
The value obtained for the total energy is -17.2 eV per formula unit. The spin magnetization is 0.00 μB per atom. The distance to the lowest polymorph of the same formula is 22.4 meV per atom. The calculated volume comes out at 29.77 A^3/atom. The density of states at the Fermi level is 3.72 states/eV/f.u. The density is 5.87 g cm⁻³. Its space-group type is R3m, No. 160.


Entry 4:
First-principles (GGA-PBE) data for crystalline Li4DyY at its relaxed geometry, as listed in the Alexandria database.

Unit cell a=5.847 b=5.847 c=5.847 alpha=60.00 beta=60.00 gamma=60.00
Positions (direct):
Li: 0.125 0.125 0.125
Li: 0.125 0.125 0.625
Li: 0.125 0.625 0.125
Li: 0.625 0.125 0.125
Dy: 0.750 0.750 0.750
Y: 0.500 0.500 0.500

Summary:
The value obtained for the total energy is -18.0 eV per formula unit. The spin magnetization is 0.00 μB per atom. The calculated volume comes out at 23.55 A^3/atom. The density of states at the Fermi level is 5.61 states/eV/f.u. The density is 3.28 g cm⁻³. Its space-group type is F-43m, No. 216.


Entry 5:
First-principles (GGA-PBE) data for crystalline LiDyY2 at its relaxed geometry, as listed in the Alexandria database.

Unit cell a=12.342 b=12.342 c=12.342 alpha=16.17 beta=16.17 gamma=16.17
Positions (direct):
Li: 0.000 0.000 0.000
Dy: 0.500 0.500 0.500
Y: 0.089 0.089 0.089
Y: 0.911 0.911 0.911

Summary:
The value obtained for the total energy is -18.7 eV per formula unit. The spin magnetization is 0.00 μB per atom. The distance to the lowest polymorph of the same formula is 126.4 meV per atom. The calculated volume comes out at 31.77 A^3/atom. The density of states at the Fermi level is 6.03 states/eV/f.u. The density is 4.54 g cm⁻³. Its space-group type is R-3m, No. 166.


Entry 6:
First-principles (GGA-PBE) data for crystalline LiDyY2 at its relaxed geometry, as listed in the Alexandria database.

Unit cell a=11.344 b=11.344 c=11.344 alpha=17.91 beta=17.91 gamma=17.91
Positions (direct):
Li: 0.000 0.000 0.000
Dy: 0.167 0.167 0.167
Y: 0.415 0.415 0.415
Y: 0.585 0.585 0.585

Summary:
The value obtained for the total energy is -19.1 eV per formula unit. The spin magnetization is 0.00 μB per atom. The distance to the lowest polymorph of the same formula is 36.7 meV per atom. The calculated volume comes out at 30.13 A^3/atom. The density of states at the Fermi level is 4.84 states/eV/f.u. The density is 4.78 g cm⁻³. Its space-group type is R3m, No. 160.


Entry 7:
First-principles (GGA-PBE) data for crystalline LiDy2Y at its relaxed geometry, as listed in the Alexandria database.

Unit cell a=5.486 b=5.486 c=5.486 alpha=60.00 beta=60.00 gamma=60.00
Positions (direct):
Li: 0.000 0.000 0.000
Dy: 0.250 0.250 0.250
Dy: 0.750 0.750 0.750
Y: 0.500 0.500 0.500

Summary:
The value obtained for the total energy is -16.8 eV per formula unit. The spin magnetization is 0.00 μB per atom. The distance to the lowest polymorph of the same formula is 122.7 meV per atom. The calculated volume comes out at 29.19 A^3/atom. The density of states at the Fermi level is 3.18 states/eV/f.u. The density is 5.99 g cm⁻³. Its space-group type is Fm-3m, No. 225.


Entry 8:
First-principles (GGA-PBE) data for crystalline LiDyY2 at its relaxed geometry, as listed in the Alexandria database.

Unit cell a=3.618 b=3.618 c=8.829 alpha=90.00 beta=90.00 gamma=90.00
Positions (direct):
Li: 0.000 0.000 0.000
Dy: 0.000 0.000 0.500
Y: 0.500 0.500 0.222
Y: 0.500 0.500 0.778

Summary:
The value obtained for the total energy is -19.2 eV per formula unit. The spin magnetization is 0.00 μB per atom. The distance to the lowest polymorph of the same formula is 0.0 meV per atom. The calculated volume comes out at 28.90 A^3/atom. The density of states at the Fermi level is 5.19 states/eV/f.u. The density is 4.99 g cm⁻³. Its space-group type is P4/mmm, No. 123.


Entry 9:
First-principles (GGA-PBE) data for crystalline LiDyY2 at its relaxed geometry, as listed in the Alexandria database.

Unit cell a=5.599 b=5.599 c=3.759 alpha=90.00 beta=90.00 gamma=90.00
Positions (direct):
Li: 0.000 0.000 0.000
Dy: 0.500 0.500 0.000
Y: 0.000 0.500 0.500
Y: 0.500 0.000 0.500

Summary:
The value obtained for the total energy is -18.8 eV per formula unit. The spin magnetization is 0.00 μB per atom. The distance to the lowest polymorph of the same formula is 88.4 meV per atom. The calculated volume comes out at 29.46 A^3/atom. The density of states at the Fermi level is 5.13 states/eV/f.u. The density is 4.89 g cm⁻³. Its space-group type is P4/mmm, No. 123.


Entry 10:
First-principles (GGA-PBE) data for crystalline LiDyYZn at its relaxed geometry, as listed in the Alexandria database.

Unit cell a=3.624 b=3.624 c=7.359 alpha=90.00 beta=90.00 gamma=90.00
Positions (direct):
Li: 0.000 0.000 0.000
Dy: 0.500 0.500 0.265
Y: 0.500 0.500 0.730
Zn: 0.000 0.000 0.495

Summary:
The value obtained for the total energy is -14.8 eV per formula unit. The spin magnetization is 0.00 μB per atom. The distance to the lowest polymorph of the same formula is 0.0 meV per atom. The calculated volume comes out at 24.17 A^3/atom. The density of states at the Fermi level is 4.30 states/eV/f.u. The density is 5.56 g cm⁻³. Its space-group type is P4mm, No. 99.


Entry 11:
First-principles (GGA-PBE) data for crystalline LiDyYZn at its relaxed geometry, as listed in the Alexandria database.

Unit cell a=5.108 b=5.108 c=5.108 alpha=60.00 beta=60.00 gamma=60.00
Positions (direct):
Li: 0.000 0.000 0.000
Dy: 0.250 0.250 0.250
Y: 0.750 0.750 0.750
Zn: 0.500 0.500 0.500

Summary:
The value obtained for the total energy is -14.8 eV per formula unit. The spin magnetization is 0.00 μB per atom. The distance to the lowest polymorph of the same formula is 2.7 meV per atom. The calculated volume comes out at 23.56 A^3/atom. The density of states at the Fermi level is 5.12 states/eV/f.u. The density is 5.70 g cm⁻³. Its space-group type is F-43m, No. 216.


Entry 12:
First-principles (GGA-PBE) data for crystalline Li2Dy2Zn15 at its relaxed geometry, as listed in the Alexandria database.

Unit cell a=6.785 b=6.785 c=6.785 alpha=83.27 beta=83.27 gamma=83.27
Positions (direct):
Li: 0.098 0.098 0.098
Li: 0.902 0.902 0.902
Dy: 0.340 0.340 0.340
Dy: 0.660 0.660 0.660
Zn: 0.000 0.000 0.500
Zn: 0.000 0.297 0.703
Zn: 0.000 0.500 0.000
Zn: 0.000 0.703 0.297
Zn: 0.160 0.649 0.649
Zn: 0.297 0.000 0.703
Zn: 0.297 0.703 0.000
Zn: 0.351 0.351 0.840
Zn: 0.351 0.840 0.351
Zn: 0.500 0.000 0.000
Zn: 0.649 0.160 0.649
Zn: 0.649 0.649 0.160
Zn: 0.703 0.000 0.297
Zn: 0.703 0.297 0.000
Zn: 0.840 0.351 0.351

Summary:
The value obtained for the total energy is -37.0 eV per formula unit. The spin magnetization is 0.00 μB per atom. The calculated volume comes out at 16.12 A^3/atom. The density of states at the Fermi level is 6.69 states/eV/f.u. The density is 7.15 g cm⁻³. Its space-group type is R-3m, No. 166.


no.,formation enthalpy at 0 K (eV per atom)
1,0.071
2,0.179
3,0.093
4,0.114
5,0.187
6,0.098
7,0.194
8,0.061
9,0.149
10,-0.130
11,-0.127
12,-0.255